A plane-wave DFT calculation with GGA-PBEsol was carried out for CaFe2Se after structural relaxation.

```
CaFe2Se
1.0
-1.633 2.458 4.209
1.633 -2.458 4.209
1.633 2.458 -4.209
Ca Fe Se
1 2 1
Direct
0.000 0.000 0.000
0.308 0.808 0.500
0.508 0.508 0.000
0.712 0.212 0.500
```

Calculated values
E above lowest polymorph: 225.4 meV per atom
Space-group type: Imm2 (44)
Raw formation energy: 0.128 eV per atom

---

A plane-wave DFT calculation with GGA-PBEsol was carried out for Sc2PtBr after structural relaxation.

```
Sc2PtBr
1.0
1.712 0.988 8.986
-1.712 0.988 8.986
0.000 -1.977 8.986
Sc Pt Br
2 1 1
Direct
0.000 0.000 0.000
0.230 0.230 0.230
0.504 0.504 0.504
0.734 0.734 0.734
```

Calculated values
E above lowest polymorph: 57.5 meV per atom
Space-group type: R3m (160)
Raw formation energy: -0.618 eV per atom

---

A plane-wave DFT calculation with GGA-PBEsol was carried out for Re5Mo after structural relaxation.

```
Re5Mo
1.0
4.776 0.000 0.000
-2.388 4.136 0.000
0.000 0.000 4.464
Re Mo
5 1
Direct
0.000 0.335 0.000
0.333 0.667 0.500
0.335 0.000 0.000
0.665 0.665 0.000
0.667 0.333 0.500
0.000 0.000 0.500
```

Calculated values
E_form: 0.08 eV/atom
E above lowest polymorph: 6.4 meV per atom
Space-group type: P-62m (189)

---

A plane-wave DFT calculation with GGA-PBEsol was carried out for TaZnCu2S after structural relaxation.

```
TaZnCu2S
1.0
4.686 0.000 0.000
0.000 4.686 0.000
0.000 0.000 4.979
Ta Zn Cu S
1 1 2 1
Direct
0.000 0.000 0.000
0.000 0.000 0.500
0.000 0.500 0.000
0.500 0.000 0.000
0.500 0.500 0.500
```

Calculated values
Space-group type: P4/mmm (123)
Raw formation energy: 1.683 eV per atom

---

A plane-wave DFT calculation with GGA-PBEsol was carried out for Mn2InAu after structural relaxation.

```
Mn2InAu
1.0
4.005 0.000 0.000
0.000 4.005 0.000
0.000 0.000 3.894
Mn In Au
2 1 1
Direct
0.000 0.500 0.000
0.500 0.000 0.000
0.000 0.000 0.500
0.500 0.500 0.500
```

Calculated values
E_form: 0.15 eV/atom
Space-group type: P4/mmm (123)

---

A plane-wave DFT calculation with GGA-PBEsol was carried out for Cs2ZnH4 after structural relaxation.

```
Cs2ZnH4
1.0
8.361 0.000 0.000
0.000 6.138 0.000
0.000 0.000 10.774
Cs Zn H
8 4 16
Direct
0.017 0.250 0.184
0.159 0.750 0.404
0.341 0.250 0.904
0.483 0.750 0.684
0.517 0.250 0.316
0.659 0.750 0.096
0.841 0.250 0.596
0.983 0.750 0.816
0.245 0.750 0.085
0.255 0.250 0.585
0.745 0.750 0.415
0.755 0.250 0.915
0.049 0.750 0.098
0.182 0.030 0.653
0.182 0.470 0.653
0.192 0.250 0.440
0.308 0.750 0.940
0.318 0.530 0.153
0.318 0.970 0.153
0.451 0.250 0.598
0.549 0.750 0.402
0.682 0.030 0.847
0.682 0.470 0.847
0.692 0.250 0.060
0.808 0.750 0.560
0.818 0.530 0.347
0.818 0.970 0.347
0.951 0.250 0.902
```

Calculated values
Calculated total energy: -73.88 eV/cell
Space-group type: Pnma (62)

---

A plane-wave DFT calculation with GGA-PBEsol was carried out for Rb2CuMoBr6 after structural relaxation.

```
Rb2CuMoBr6
1.0
0.000 5.190 5.190
5.190 0.000 5.190
5.190 5.190 0.000
Rb Cu Mo Br
2 1 1 6
Direct
0.250 0.250 0.250
0.750 0.750 0.750
0.000 0.000 0.000
0.500 0.500 0.500
0.251 0.251 0.749
0.251 0.749 0.251
0.251 0.749 0.749
0.749 0.251 0.251
0.749 0.251 0.749
0.749 0.749 0.251
```

Calculated values
Space-group type: Fm-3m (225)
Raw formation energy: -0.894 eV per atom

---

A plane-wave DFT calculation with GGA-PBEsol was carried out for AsBrCl2 after structural relaxation.

```
AsBrCl2
1.0
1.678 -2.792 0.000
1.678 2.792 0.000
0.000 0.000 10.308
As Br Cl
1 1 2
Direct
0.000 0.000 0.000
0.000 0.000 0.500
0.500 0.500 0.178
0.500 0.500 0.822
```

Calculated values
E above lowest polymorph: 502.4 meV per atom
Space-group type: Cmmm (65)
Raw formation energy: -0.034 eV per atom

---

Values of spin magnetization, in order: 4.0 0.8 0.0 0.0 6.3 0.0 3.0 0.0, all in μB/f.u..